Material: Ca2ZnP
Method: DFT, PBEsol
State: optimized geometry

```
Ca2ZnP
1.0
0.000 3.517 3.517
3.517 0.000 3.517
3.517 3.517 0.000
Ca Zn P
2 1 1
direct
0.250 0.250 0.250 Ca
0.750 0.750 0.750 Ca
0.000 0.000 0.000 Zn
0.500 0.500 0.500 P
```

Results
DFT total energy, eV/atom: -3.46
Crystal system: cubic
Calculated volume, A^3/atom: 21.8
Energy relative to the elements, meV/atom: -546
Energy above the lowest structure with this stoichiometry, meV/atom: 193



Material: CaZn2P
Method: DFT, PBEsol
State: optimized geometry

```
CaZn2P
1.0
0.000 3.326 3.326
3.326 0.000 3.326
3.326 3.326 0.000
Ca Zn P
1 2 1
direct
0.000 0.000 0.000 Ca
0.250 0.250 0.250 Zn
0.500 0.500 0.500 Zn
0.750 0.750 0.750 P
```

Results
DFT total energy, eV/atom: -2.92
Crystal system: cubic
Calculated volume, A^3/atom: 18.4
Energy relative to the elements, meV/atom: -147



Please write out number 2 again, unchanged.
Material: CaZn2P
Method: DFT, PBEsol
State: optimized geometry

```
CaZn2P
1.0
0.000 3.326 3.326
3.326 0.000 3.326
3.326 3.326 0.000
Ca Zn P
1 2 1
direct
0.000 0.000 0.000 Ca
0.250 0.250 0.250 Zn
0.500 0.500 0.500 Zn
0.750 0.750 0.750 P
```

Results
DFT total energy, eV/atom: -2.92
Crystal system: cubic
Calculated volume, A^3/atom: 18.4
Energy relative to the elements, meV/atom: -147